No. 1
The following is a PBE calculation of a relaxed structure of YPaC2, from Alexandria via LeMat-Bulk.

ΔE_f = -0.042 eV/atom
mass density = 8.5 Mg/m³
calculated total energy = -34.57 eV per formula unit
energy relative to the lowest polymorph listed for this composition = 369.8 meV/atom
size of the total moment = 0.00 μB per cell

Lattice parameters (Å, degrees): 3.5715 3.5715 6.0992 90.10 90.00 120.00
Last column: nearest neighbours and their distance in Å.
Sites, in units of the cell vectors:
Y (0.0000, 0.5000, 0.5000)  6 C 2.67
Pa (0.0000, 0.5000, 0.0000)  6 C 2.46-2.47
C (0.6668, 0.8335, 0.7783)  3 Pa 2.46-2.47, 3 Y 2.67
C (0.3332, 0.1665, 0.2217)  3 Pa 2.46-2.47, 3 Y 2.67

---

No. 2
The following is a PBE calculation of a relaxed structure of Pa2ZnC, from Alexandria via LeMat-Bulk.

ΔE_f = 0.028 eV/atom
mass density = 12.8 Mg/m³
calculated total energy = -29.38 eV per formula unit
energy relative to the lowest polymorph listed for this composition = 0.0 meV/atom
size of the total moment = 0.00 μB per cell

Lattice parameters (Å, degrees): 3.0517 3.0517 7.5033 90.00 90.00 90.00
Last column: nearest neighbours and their distance in Å.
Sites, in units of the cell vectors:
Zn (0.5000, 0.5000, 0.5000)  4 Zn 3.05, 8 Pa 3.15
Pa (0.0000, 0.0000, 0.8052)  4 C 2.61
Pa (0.0000, 0.0000, 0.1948)  4 C 2.61
C (0.5000, 0.5000, 0.0000)  8 Pa 2.61

---

No. 3
The following is a PBE calculation of a relaxed structure of Pa3ZnC, from Alexandria via LeMat-Bulk.

ΔE_f = -0.101 eV/atom
mass density = 12.0 Mg/m³
calculated total energy = -39.49 eV per formula unit
size of the total moment = 0.00 μB per cell

Lattice parameters (Å, degrees): 4.7422 4.7422 4.7422 90.00 90.00 90.00
Last column: nearest neighbours and their distance in Å.
Sites, in units of the cell vectors:
Zn (0.5000, 0.5000, 0.5000)  12 Pa 3.35
Pa (0.0000, 0.5000, 0.0000)  2 C 2.37
Pa (0.0000, 0.0000, 0.5000)  2 C 2.37
Pa (0.5000, 0.0000, 0.0000)  2 C 2.37
C (0.0000, 0.0000, 0.0000)  6 Pa 2.37